Entry 1:
# NaPIrCl2, relaxed, DFT PBE-GGA
data_NaPIrCl2
_chemical_formula_sum 'Na1 P1 Ir1 Cl2'
_symmetry_space_group_name_H-M 'P 4/m m m'
_symmetry_Int_Tables_number 123
_symmetry_space_group_name_Hall '-P 4 2'
_cell_length_a 5.2280
_cell_length_b 5.2280
_cell_length_c 4.3932
_cell_angle_alpha 90.00
_cell_angle_beta 90.00
_cell_angle_gamma 90.00
loop_
_atom_site_label
_atom_site_fract_x
_atom_site_fract_y
_atom_site_fract_z
Na1 0.0000 0.0000 0.0000
P1 0.5000 0.5000 0.0000
Ir1 0.5000 0.5000 0.5000
Cl1 0.0000 0.5000 0.5000
# density = 4.39 g/cm3
# DOS(E_F) = 0.306 states/eV per atom
# energy relative to the elements, uncorrected = -323.4 meV per atom

Entry 2:
# Sc2TlCl, relaxed, DFT PBE-GGA
data_Sc2TlCl
_chemical_formula_sum 'Sc4 Tl2 Cl2'
_symmetry_space_group_name_H-M 'I -4 m 2'
_symmetry_Int_Tables_number 119
_symmetry_space_group_name_Hall 'I -4 -2'
_cell_length_a 4.0921
_cell_length_b 4.0921
_cell_length_c 11.1219
_cell_angle_alpha 90.00
_cell_angle_beta 90.00
_cell_angle_gamma 90.00
loop_
_atom_site_label
_atom_site_fract_x
_atom_site_fract_y
_atom_site_fract_z
Sc1 0.0000 0.0000 0.0000
Sc2 0.0000 0.5000 0.2500
Tl1 0.0000 0.5000 0.7500
Cl1 0.0000 0.0000 0.5000
# density = 5.88 g/cm3
# DOS(E_F) = 1.130 states/eV per atom
# energy relative to the elements, uncorrected = -318.0 meV per atom

| no. | total magnetic moment (μB per atom) |
| --- | --- |
| 1 | 0.0000 |
| 2 | 0.1193 |